Record 1
Here is crystalline SmTh2Al at its relaxed geometry from Alexandria. Energies are from PBE-GGA.

Output
The formation enthalpy at 0 K is 0.19 eV per atom. The calculation puts the energy above the most stable polymorph in this dataset at 0.314 eV per atom. Its space group is No. 166.

Cell and atoms, written as extended XYZ:
```
4
Lattice="3.382 0.000 0.000 1.691 2.929 0.000 1.691 0.976 11.954" Properties=species:S:1:pos:R:3 pbc="T T T"
Sm 0.000 0.000 0.000
Th 1.691 0.976 8.572
Th 5.072 2.929 3.382
Al 3.382 1.952 5.977
```

=====

Record 2
Here is crystalline LiPmPrRh at its relaxed geometry from Alexandria. Energies are from PBE-GGA.

Output
The formation enthalpy at 0 K is -0.34 eV per atom. Its space group is No. 216.

Cell and atoms, written as extended XYZ:
```
4
Lattice="5.105 0.000 0.000 2.553 4.421 0.000 2.553 1.474 4.168" Properties=species:S:1:pos:R:3 pbc="T T T"
Rh 5.105 2.947 2.084
Pm 7.658 4.421 3.126
Li 0.000 0.000 0.000
Pr 2.553 1.474 1.042
```

=====

Record 3
Here is crystalline CaSc2PaSb4 at its relaxed geometry from Alexandria. Energies are from PBE-GGA.

Output
The formation energy without anion corrections is -18.97 kcal/mol of atoms. Its space group is No. 10.

Cell and atoms, written as extended XYZ:
```
8
Lattice="-3.802 0.474 1.948 -2.578 -6.017 -3.565 3.032 -2.096 6.428" Properties=species:S:1:pos:R:3 pbc="T T T"
Sb 1.610 -2.970 3.865
Sb -1.745 -1.838 1.784
Sb -1.156 -5.143 -1.003
Sb -1.603 -5.800 3.026
Pa 0.000 0.000 0.000
Sc 0.227 -4.057 1.431
Sc -0.385 -0.811 4.188
Ca -3.190 -2.771 -0.808
```

=====

Record 4
Here is crystalline HfNb3Ga3 at its relaxed geometry from Alexandria. Energies are from PBE-GGA.

Output
The formation enthalpy at 0 K is -0.22 eV per atom. Its space group is No. 176.

Cell and atoms, written as extended XYZ:
```
14
Lattice="4.751 0.000 0.000 0.000 7.754 0.000 0.000 -3.877 6.716" Properties=species:S:1:pos:R:3 pbc="T T T"
Hf 3.563 0.000 4.477
Hf 1.188 3.877 2.239
Ga 1.188 1.185 3.087
Ga 1.188 -1.797 4.146
Ga 3.563 2.692 3.629
Ga 3.563 5.674 2.569
Ga 3.563 3.265 0.517
Ga 1.188 0.612 6.198
Nb 1.188 3.127 5.190
Nb 3.563 -2.931 5.303
Nb 1.188 1.697 0.113
Nb 3.563 0.751 1.526
Nb 1.188 6.808 1.413
Nb 3.563 2.181 6.603
```

=====

Record 5
Here is crystalline HfI2NF at its relaxed geometry from Alexandria. Energies are from PBE-GGA.

Output
The calculation puts the energy above the most stable polymorph in this dataset at 1.185 eV per atom. The formation energy without anion corrections is 21.55 kcal/mol of atoms. Its space group is No. 123.

Cell and atoms, written as extended XYZ:
```
5
Lattice="-4.758 -0.429 2.743 -0.650 -5.119 -1.928 1.750 -1.290 2.834" Properties=species:S:1:pos:R:3 pbc="T T T"
I -0.325 -2.559 -0.964
I -2.379 -0.215 1.371
N 0.875 -0.645 1.417
F 0.000 0.000 0.000
Hf -1.829 -3.419 1.824
```

=====

Record 6
Here is crystalline CsRb2AsSe4 at its relaxed geometry from Alexandria. Energies are from PBE-GGA.

Output
The formation energy without anion corrections is -11.40 kcal/mol of atoms. Its space group is No. 15.

Cell and atoms, written as extended XYZ:
```
16
Lattice="-4.518 6.904 -4.652 -7.611 -4.138 -3.831 3.133 -0.056 11.059" Properties=species:S:1:pos:R:3 pbc="T T T"
Rb -2.259 3.452 -2.326
Rb 1.567 -0.028 5.529
Rb -0.692 3.424 3.204
Rb -6.064 1.383 -4.241
Se -5.176 1.361 -1.086
Se -7.056 -1.735 -3.968
Se -5.152 -4.173 4.853
Se -5.270 -0.980 1.503
Se -3.819 1.350 3.662
Se -3.725 3.691 1.073
Se -1.939 4.446 6.544
Se -3.843 6.884 -2.277
Cs -3.805 -2.069 -1.915
Cs -6.757 4.808 -1.038
As -4.498 1.356 1.288
As -1.385 6.849 6.407
```

=====

Record 7
Here is crystalline BC3 at its relaxed geometry from Alexandria. Energies are from PBE-GGA.

Output
The formation enthalpy at 0 K is 0.31 eV per atom. The calculation puts the energy above the most stable polymorph in this dataset at 0.068 eV per atom. Its space group is No. 156.

Cell and atoms, written as extended XYZ:
```
12
Lattice="2.569 0.000 0.000 -1.284 2.225 0.000 0.000 0.000 12.991" Properties=species:S:1:pos:R:3 pbc="T T T"
B 1.284 0.742 9.228
B 0.000 0.000 11.474
B 0.000 0.000 4.875
C 0.000 1.483 0.605
C 0.000 1.483 7.022
C 1.284 0.742 2.693
C 0.000 1.483 2.172
C 1.284 0.742 10.792
C 0.000 1.483 8.527
C 1.284 0.742 4.206
C 0.000 0.000 6.492
C 0.000 0.000 0.116
```

=====

Record 8
Here is crystalline ThGa6Ni2 at its relaxed geometry from Alexandria. Energies are from PBE-GGA.

Output
The formation enthalpy at 0 K is -0.15 eV per atom. Its space group is No. 191.

Cell and atoms, written as extended XYZ:
```
9
Lattice="-2.855 2.535 4.398 -2.462 -0.323 -5.268 -2.463 -5.338 1.478" Properties=species:S:1:pos:R:3 pbc="T T T"
Ga -1.760 -1.311 -2.315
Ga -3.190 -0.043 -0.117
Ga -3.164 -4.351 -1.475
Ga -3.361 -2.921 3.360
Ga -1.957 0.118 2.516
Ga -4.590 -3.084 0.725
Th 0.000 0.000 0.000
Ni -3.955 -1.087 1.915
Ni -3.824 -2.040 -1.307
```

=====

Sequential VASP energy output: -5.6325, -5.0391, -5.9040, -7.2578, -3.7158, -3.1664, -8.2787, -4.2776 eV per atom
Sequential size of the total moment output: 0.00, 0.00, 0.46, 0.00, 1.43, 0.00, 0.00, 0.00 μB per formula unit